No. 1
Density functional theory data (PBE) for a relaxed structure of CaSi3Rh3.

The structure in POSCAR format:
```
CaSi3Rh3
1.0
-4.1290 0.8708 4.9795
1.7778 -5.7686 2.4829
4.7322 2.9270 3.4121
Rh Ca Si
6 2 6
direct
0.2500 0.0000 0.5000 Rh
0.0000 0.5000 0.2500 Rh
0.7500 0.0000 0.5000 Rh
0.5000 0.2500 0.0000 Rh
0.5000 0.7500 0.0000 Rh
0.0000 0.5000 0.7500 Rh
0.0000 0.0000 0.0000 Ca
0.5000 0.5000 0.5000 Ca
0.5000 0.0000 0.2500 Si
0.5000 0.0000 0.7500 Si
0.0000 0.2500 0.5000 Si
0.0000 0.7500 0.5000 Si
0.7500 0.5000 0.0000 Si
0.2500 0.5000 0.0000 Si
```

Output
Space-group type: Pm-3n, No. 223
Formation energy from raw total energies in meV per atom: -528

No. 2
Density functional theory data (PBE) for a relaxed structure of Ho7Tl2Ir2.

The structure in POSCAR format:
```
Ho7Tl2Ir2
1.0
-2.7576 6.0999 -1.2956
-2.5816 0.2324 6.5896
6.2529 1.2683 2.4050
Tl Ho Ir
2 7 2
direct
0.8174 0.5000 0.8174 Tl
0.1826 0.5000 0.1826 Tl
0.5002 0.7616 0.4998 Ho
0.4997 0.2459 0.0002 Ho
0.0000 0.0000 0.0000 Ho
0.9998 0.2459 0.5003 Ho
0.4998 0.2384 0.5002 Ho
0.5003 0.7541 0.9998 Ho
0.0002 0.7541 0.4997 Ho
0.7132 0.0000 0.2868 Ir
0.2868 0.0000 0.7132 Ir
```

Output
Formation energy in meV/atom: -437.0
Space-group type: Cmmm, No. 65

Number 1: calculated volume 19.862 Å³ per atom. Number 2: calculated volume 28.804 Å³ per atom.